Entry 1:
# La2NdGdZn12Ge6 PBE relaxed
# Crystal system: monoclinic
# Magnetization in Bohr magnetons per cell: 0.00
# Calculated total energy in eV per atom: -3.259
data_La2NdGdZn12Ge6
_space_group_name_H-M_alt 'P 1'
_space_group_IT_number 1
_cell_length_a 7.684
_cell_length_b 4.109
_cell_length_c 13.307
_cell_angle_alpha 90.00
_cell_angle_beta 90.00
_cell_angle_gamma 90.00
loop_
_space_group_symop_operation_xyz
'x,y,z'
loop_
_atom_site_label
_atom_site_type_symbol
_atom_site_fract_x
_atom_site_fract_y
_atom_site_fract_z
Nd1 Nd 0.499 0.000 0.168
Zn1 Zn 0.401 0.000 0.405
Ge1 Ge 0.382 0.500 0.002
Ge2 Ge 0.810 0.500 0.194
Ge3 Ge 0.810 0.500 0.810
Zn2 Zn 0.408 0.000 0.594
Zn3 Zn 0.642 0.500 0.355
Ge4 Ge 0.883 0.500 0.496
La1 La 0.500 0.000 0.834
Gd1 Gd 0.000 0.000 0.332
Zn4 Zn 0.905 0.000 0.096
Zn5 Zn 0.907 0.000 0.907
Zn6 Zn 0.145 0.500 0.857
Zn7 Zn 0.143 0.500 0.145
Zn8 Zn 0.689 0.000 0.497
Ge5 Ge 0.304 0.500 0.309
Zn9 Zn 0.713 0.500 0.003
La2 La 0.001 0.000 0.665
Zn10 Zn 0.212 0.500 0.498
Zn11 Zn 0.646 0.500 0.642
Ge6 Ge 0.310 0.500 0.690
Zn12 Zn 0.189 0.000 0.002



Entry 2:
# Sr2MgSi2Ir PBE relaxed
# Crystal system: tetragonal
# Magnetization in Bohr magnetons per cell: 0.00
# Calculated total energy in eV per atom: -4.529
data_Sr2MgSi2Ir
_space_group_name_H-M_alt 'P 1'
_space_group_IT_number 1
_cell_length_a 4.393
_cell_length_b 4.393
_cell_length_c 7.211
_cell_angle_alpha 90.00
_cell_angle_beta 90.00
_cell_angle_gamma 90.00
loop_
_space_group_symop_operation_xyz
'x,y,z'
loop_
_atom_site_label
_atom_site_type_symbol
_atom_site_fract_x
_atom_site_fract_y
_atom_site_fract_z
Sr1 Sr 0.000 0.500 0.166
Mg1 Mg 0.000 0.000 0.500
Si1 Si 0.500 0.000 0.314
Si2 Si 0.000 0.500 0.686
Ir1 Ir 0.500 0.500 0.500
Sr2 Sr 0.500 0.000 0.834



Entry 3:
# Sc5GaCo4 PBE relaxed
# Crystal system: tetragonal
# Magnetization in Bohr magnetons per cell: 0.68
# Calculated total energy in eV per atom: -6.724
data_Sc5GaCo4
_space_group_name_H-M_alt 'P 1'
_space_group_IT_number 1
_cell_length_a 3.146
_cell_length_b 3.146
_cell_length_c 16.025
_cell_angle_alpha 90.00
_cell_angle_beta 90.00
_cell_angle_gamma 90.00
loop_
_space_group_symop_operation_xyz
'x,y,z'
loop_
_atom_site_label
_atom_site_type_symbol
_atom_site_fract_x
_atom_site_fract_y
_atom_site_fract_z
Sc1 Sc 0.500 0.500 0.308
Sc2 Sc 0.500 0.500 0.500
Co1 Co 0.000 0.000 0.596
Co2 Co 0.000 0.000 0.791
Sc3 Sc 0.500 0.500 0.115
Sc4 Sc 0.500 0.500 0.885
Co3 Co 0.000 0.000 0.404
Ga1 Ga 0.000 0.000 0.000
Sc5 Sc 0.500 0.500 0.692
Co4 Co 0.000 0.000 0.209



Entry 4:
# CoAg3C6N6 PBE relaxed
# Crystal system: trigonal
# Magnetization in Bohr magnetons per cell: 0.01
# Calculated total energy in eV per atom: -7.176
data_CoAg3C6N6
_space_group_name_H-M_alt 'P 1'
_space_group_IT_number 1
_cell_length_a 6.843
_cell_length_b 6.843
_cell_length_c 7.242
_cell_angle_alpha 90.00
_cell_angle_beta 90.00
_cell_angle_gamma 120.00
loop_
_space_group_symop_operation_xyz
'x,y,z'
loop_
_atom_site_label
_atom_site_type_symbol
_atom_site_fract_x
_atom_site_fract_y
_atom_site_fract_z
N1 N 0.655 0.655 0.261
N2 N 0.345 0.000 0.261
C1 C 0.218 0.218 0.847
Ag1 Ag 0.500 0.500 0.500
Ag2 Ag 0.000 0.500 0.500
C2 C 0.782 0.000 0.847
Ag3 Ag 0.500 0.000 0.500
N3 N 0.345 0.345 0.739
N4 N 0.655 0.000 0.739
N5 N 0.000 0.655 0.739
C3 C 0.000 0.218 0.153
Co1 Co 0.000 0.000 0.000
N6 N 0.000 0.345 0.261
C4 C 0.000 0.782 0.847
C5 C 0.782 0.782 0.153
C6 C 0.218 0.000 0.153